Record 1
Computed, not measured: a relaxed Zr2FeAu crystal at the GGA-PBE level of DFT.

Results
distance to the lowest polymorph of the same formula: 0.419 eV per atom
SG: I-42d, No. 122
calculated formation energy: 90 meV/atom
total DFT energy (no corrections): -56.955 eV for the cell shown
total magnetization: 0.00 μB per cell

Cell and atoms, written as POSCAR:
```
Zr2FeAu
1.0
-5.013 2.335 4.769
3.217 -3.884 5.283
0.744 1.452 5.663
Au Zr Fe
2 4 2
direct
0.750 0.250 0.500
0.000 0.000 0.000
0.163 0.625 0.250
0.875 0.837 0.750
0.587 0.125 0.250
0.375 0.413 0.750
0.500 0.500 0.000
0.250 0.750 0.500
```

Record 2
Computed, not measured: a relaxed ZrFe2Au crystal at the GGA-PBE level of DFT.

Results
distance to the lowest polymorph of the same formula: 0.063 eV per atom
SG: I4/mmm, No. 139
calculated formation energy: -44 meV/atom
total DFT energy (no corrections): -28.926 eV for the cell shown
total magnetization: 3.92 μB per cell

Cell and atoms, written as POSCAR:
```
ZrFe2Au
1.0
-4.101 1.263 -2.280
-3.556 0.486 3.275
4.491 1.845 -0.180
Au Fe Zr
1 2 1
direct
0.250 0.750 0.500
0.000 0.000 0.000
0.500 0.500 0.000
0.750 0.250 0.500
```

Record 3
Computed, not measured: a relaxed ZrFe2Au crystal at the GGA-PBE level of DFT.

Results
distance to the lowest polymorph of the same formula: 0.424 eV per atom
SG: R-3m, No. 166
calculated formation energy: 317 meV/atom
total DFT energy (no corrections): -27.483 eV for the cell shown
total magnetization: 5.51 μB per cell

Cell and atoms, written as POSCAR:
```
ZrFe2Au
1.0
9.104 -0.012 -0.007
8.635 2.886 -0.007
8.635 1.399 2.524
Fe Zr Au
2 1 1
direct
0.003 0.003 0.003
0.497 0.497 0.497
0.250 0.250 0.250
0.750 0.750 0.750
```

Record 4
Computed, not measured: a relaxed Zr2FeAu crystal at the GGA-PBE level of DFT.

Results
distance to the lowest polymorph of the same formula: 0.016 eV per atom
SG: C2/m, No. 12
calculated formation energy: -313 meV/atom
total DFT energy (no corrections): -30.090 eV for the cell shown
total magnetization: 0.48 μB per cell

Cell and atoms, written as POSCAR:
```
Zr2FeAu
1.0
-0.991 1.608 -2.508
-0.706 -2.540 -1.705
-8.393 -0.794 -1.121
Au Zr Fe
1 2 1
direct
0.250 0.250 0.250
0.485 0.485 0.532
0.015 0.015 0.968
0.750 0.750 0.750
```

Record 5
Computed, not measured: a relaxed ZrFe2Au crystal at the GGA-PBE level of DFT.

Results
distance to the lowest polymorph of the same formula: 0.014 eV per atom
SG: P4/mmm, No. 123
calculated formation energy: -92 meV/atom
total DFT energy (no corrections): -29.120 eV for the cell shown
total magnetization: 2.82 μB per cell

Cell and atoms, written as POSCAR:
```
ZrFe2Au
1.0
-2.896 2.670 -0.865
-0.106 -1.347 -3.801
-2.608 -2.517 0.964
Fe Zr Au
2 1 1
direct
0.000 0.000 0.000
0.500 0.500 0.000
0.500 0.000 0.500
0.000 0.500 0.500
```

Record 6
Computed, not measured: a relaxed Zr2FeAu crystal at the GGA-PBE level of DFT.

Results
distance to the lowest polymorph of the same formula: 0.205 eV per atom
SG: I-4m2, No. 119
calculated formation energy: -125 meV/atom
total DFT energy (no corrections): -29.335 eV for the cell shown
total magnetization: 1.59 μB per cell

Cell and atoms, written as POSCAR:
```
Zr2FeAu
1.0
-1.533 -3.310 3.939
-1.705 -4.843 -1.568
4.289 3.073 -0.990
Zr Au Fe
2 1 1
direct
0.250 0.750 0.500
0.000 0.000 0.000
0.500 0.500 0.000
0.750 0.250 0.500
```